Ce2NdSe2N2 | GGA-PBE | optimized geometry

uncorrected formation energy: -1.703 eV per atom

Lattice parameters (Å, degrees): 4.000 7.053 7.044 59.41 73.50 73.53
Sites, in units of the cell vectors:
Se1 0.590 0.182 0.638
N1 0.805 0.328 0.062
Nd1 0.000 0.000 0.000
Se2 0.410 0.818 0.362
N2 0.195 0.672 0.938
Ce1 0.216 0.331 0.237
Ce2 0.784 0.669 0.763

---

SnPWCl2 | GGA-PBE | optimized geometry

uncorrected formation energy: 1.154 eV per atom
energy relative to the lowest polymorph listed for this composition: 905 meV/atom

Lattice parameters (Å, degrees): 5.021 5.021 5.354 90.00 90.00 90.00
Sites, in units of the cell vectors:
Sn1 0.000 0.000 0.000
P1 0.000 0.000 0.500
Cl1 0.500 0.000 0.000
Cl2 0.000 0.500 0.000
W1 0.500 0.500 0.500

---

AcPmGa2 | GGA-PBE | optimized geometry

DFT formation energy: -0.499 eV/atom
energy relative to the lowest polymorph listed for this composition: 41 meV/atom

Lattice parameters (Å, degrees): 3.812 3.812 7.511 90.00 90.00 90.00
Sites, in units of the cell vectors:
Ac1 0.500 0.500 0.500
Ga1 0.000 0.000 0.776
Ga2 0.000 0.000 0.224
Pm1 0.500 0.500 0.000

---

GdDyTm2 | GGA-PBE | optimized geometry

DFT formation energy: 0.027 eV/atom
energy relative to the lowest polymorph listed for this composition: 2 meV/atom

Lattice parameters (Å, degrees): 3.527 3.527 11.647 81.29 81.29 60.00
Sites, in units of the cell vectors:
Dy1 0.000 0.000 0.000
Tm1 0.251 0.251 0.248
Tm2 0.749 0.749 0.752
Gd1 0.500 0.500 0.500

---

Li2TiPdBr | GGA-PBE | optimized geometry

uncorrected formation energy: 0.493 eV per atom

Lattice parameters (Å, degrees): 4.529 5.109 4.529 90.00 90.00 90.00
Sites, in units of the cell vectors:
Ti1 0.500 0.500 0.500
Pd1 0.000 0.000 0.000
Li1 0.500 0.000 0.000
Br1 0.000 0.500 0.000
Li2 0.000 0.000 0.500

---

ZrSi2Ag | GGA-PBE | optimized geometry

uncorrected formation energy: -0.068 eV per atom

Lattice parameters (Å, degrees): 5.172 5.172 5.180 134.68 134.68 66.00
Sites, in units of the cell vectors:
Si1 0.994 0.006 0.000
Si2 0.506 0.494 0.000
Zr1 0.750 0.250 0.500
Ag1 0.250 0.750 0.500

---

Bi3PdPt | GGA-PBE | optimized geometry

DFT formation energy: -0.155 eV/atom
energy relative to the lowest polymorph listed for this composition: 0 meV/atom

Lattice parameters (Å, degrees): 7.508 7.683 9.247 101.52 90.00 90.00
Sites, in units of the cell vectors:
Bi1 0.087 0.227 0.052
Pd1 0.750 0.628 0.170
Bi2 0.530 0.122 0.185
Pt1 0.748 0.097 0.434
Pt2 0.252 0.903 0.566
Bi3 0.130 0.583 0.628
Bi4 0.030 0.878 0.315
Bi5 0.413 0.227 0.552
Bi6 0.470 0.878 0.815
Pt3 0.248 0.903 0.066
Bi7 0.630 0.417 0.872
Pd2 0.250 0.372 0.330
Pd3 0.750 0.628 0.670
Bi8 0.370 0.583 0.128
Pd4 0.250 0.372 0.830
Pt4 0.752 0.097 0.934
Bi9 0.587 0.773 0.448
Bi10 0.970 0.122 0.685
Bi11 0.913 0.773 0.948
Bi12 0.870 0.417 0.372

---

AcGeAu3 | GGA-PBE | optimized geometry

DFT formation energy: -0.591 eV/atom
energy relative to the lowest polymorph listed for this composition: 0 meV/atom

Lattice parameters (Å, degrees): 4.729 4.730 6.147 67.62 67.62 90.02
Sites, in units of the cell vectors:
Ac1 0.398 0.201 0.910
Ge1 0.036 0.839 0.634
Au1 0.794 0.597 0.116
Au2 0.639 0.945 0.426
Au3 0.141 0.443 0.426

---

BeSbTe3 | GGA-PBE | optimized geometry

uncorrected formation energy: 0.316 eV per atom
energy relative to the lowest polymorph listed for this composition: 0 meV/atom

Lattice parameters (Å, degrees): 5.020 5.020 5.020 90.00 90.00 90.00
Sites, in units of the cell vectors:
Te1 0.000 0.000 0.500
Be1 0.000 0.000 0.000
Te2 0.000 0.500 0.000
Sb1 0.500 0.500 0.500
Te3 0.500 0.000 0.000

---

CaLa5Pm6 | GGA-PBE | optimized geometry

DFT formation energy: 0.035 eV/atom

Lattice parameters (Å, degrees): 5.265 9.809 9.809 106.74 105.59 105.59
Sites, in units of the cell vectors:
La1 0.000 0.332 0.668
Pm1 0.240 0.741 0.741
Pm2 0.746 0.578 0.915
Pm3 0.746 0.915 0.578
La2 0.000 0.668 0.332
La3 0.500 0.828 0.172
Pm4 0.254 0.422 0.085
La4 0.500 0.500 0.500
Pm5 0.254 0.085 0.422
La5 0.500 0.172 0.828
Ca1 0.000 0.000 0.000
Pm6 0.760 0.259 0.259

---

BaRe2 | GGA-PBE | optimized geometry

DFT formation energy: 0.708 eV/atom
energy relative to the lowest polymorph listed for this composition: 40 meV/atom

Lattice parameters (Å, degrees): 6.965 6.965 6.965 153.21 153.21 38.26
Sites, in units of the cell vectors:
Re1 0.793 0.793 0.000
Ba1 0.500 0.500 0.000
Re2 0.207 0.207 0.000

---

La4IrI2N | GGA-PBE | optimized geometry

uncorrected formation energy: -1.100 eV per atom

Lattice parameters (Å, degrees): 4.025 7.171 8.467 106.92 90.00 90.00
Sites, in units of the cell vectors:
Ir1 0.000 0.000 0.000
La1 0.500 0.757 0.818
N1 0.500 0.500 0.000
La2 0.000 0.302 0.825
La3 0.500 0.243 0.182
La4 0.000 0.698 0.175
I1 0.500 0.000 0.500
I2 0.000 0.500 0.500

---

| no. | magnetic moment (μB per formula unit) | DFT total energy (eV per atom) |
| --- | --- | --- |
| 1 | 1.06 | -7.453 |
| 2 | 4.12 | -4.058 |
| 3 | 0.00 | -4.227 |
| 4 | 7.26 | -6.880 |
| 5 | 0.12 | -3.225 |
| 6 | 0.00 | -5.630 |
| 7 | 0.00 | -4.730 |
| 8 | 0.00 | -4.303 |
| 9 | 0.00 | -3.139 |
| 10 | 0.00 | -4.560 |
| 11 | 0.00 | -8.232 |
| 12 | 0.00 | -6.100 |